The following is a DFT calculation (PBE) of crystalline CoSnS2 at its relaxed geometry.

a b c (Å): 5.7792 5.7792 10.2679
angles (deg): 90.00 90.00 90.00
Space group I-42d (No. 122)
One atom of each set of equivalent atoms:
Co 0.0000 0.0000 0.0000
Sn 0.0000 0.0000 0.5000
S 0.1658 0.2500 0.1250

ΔE_f (raw) (meV per atom): -195
Calculated total energy (eV/atom): -5.036
Total magnetization (μB/f.u.): 0.000

***

The following is a DFT calculation (PBE) of crystalline CoSn2S at its relaxed geometry.

a b c (Å): 6.0357 6.0357 11.3469
angles (deg): 90.00 90.00 90.00
Space group I-42d (No. 122)
One atom of each set of equivalent atoms:
Co 0.0000 0.0000 0.0000
Sn 0.2139 0.2500 0.1250
S 0.0000 0.0000 0.5000

ΔE_f (raw) (meV per atom): 175
Calculated total energy (eV/atom): -4.635
Total magnetization (μB/f.u.): 0.001

***

The following is a DFT calculation (PBE) of crystalline Co2SnS at its relaxed geometry.

a b c (Å): 4.4052 4.4052 13.8285
angles (deg): 90.00 90.00 90.00
Space group I-42d (No. 122)
One atom of each set of equivalent atoms:
Co 0.1312 0.2500 0.1250
Sn 0.0000 0.0000 0.5000
S 0.0000 0.0000 0.0000

ΔE_f (raw) (meV per atom): 5
Energy relative to the lowest polymorph listed for this composition (meV/atom): 0.0
Calculated total energy (eV/atom): -5.580
Total magnetization (μB/f.u.): 0.862

***

The following is a DFT calculation (PBE) of crystalline Co2SnS at its relaxed geometry.

a b c (Å): 6.1298 6.1298 6.1298
angles (deg): 90.00 90.00 90.00
Space group Fm-3m (No. 225)
One atom of each set of equivalent atoms:
Co 0.2500 0.2500 0.2500
Sn 0.0000 0.0000 0.0000
S 0.0000 0.0000 0.5000

ΔE_f (raw) (meV per atom): 322
Energy relative to the lowest polymorph listed for this composition (meV/atom): 316.3
Calculated total energy (eV/atom): -5.264
Total magnetization (μB/f.u.): 1.967

***

Which value of total magnetization does entry 3 give?
0.862 μB/f.u.

***

Please write out number 1 again, unchanged.
The following is a DFT calculation (PBE) of crystalline CoSnS2 at its relaxed geometry.

a b c (Å): 5.7792 5.7792 10.2679
angles (deg): 90.00 90.00 90.00
Space group I-42d (No. 122)
One atom of each set of equivalent atoms:
Co 0.0000 0.0000 0.0000
Sn 0.0000 0.0000 0.5000
S 0.1658 0.2500 0.1250

ΔE_f (raw) (meV per atom): -195
Calculated total energy (eV/atom): -5.036
Total magnetization (μB/f.u.): 0.000

***

The highest calculated total energy belongs to which entry?
CoSn2S

***

Among the records above, which one has the highest total magnetization?
number 4